# TmThTiAl, relaxed, DFT PBE
# DFT formation energy = -1.0 kJ per mole of atoms
data_TmThTiAl
_cell_length_a 7.238
_cell_length_b 7.238
_cell_length_c 7.238
_cell_angle_alpha 90.00
_cell_angle_beta 90.00
_cell_angle_gamma 90.00
_symmetry_space_group_name_H-M 'F -4 3 m'
_symmetry_Int_Tables_number 216
_symmetry_space_group_name_Hall 'F -4 2 3'
loop_
_atom_site_label
_atom_site_fract_x
_atom_site_fract_y
_atom_site_fract_z
Tm1 0.000 0.000 0.000
Th1 0.000 0.000 0.500
Ti1 0.250 0.250 0.750
Al1 0.250 0.250 0.250